# Ba2Sr2Ca PBE relaxed
data_Ba2Sr2Ca
_chemical_formula_sum 'Ba8 Sr8 Ca4'
_symmetry_space_group_name_H-M 'I m m a'
_symmetry_Int_Tables_number 74
_symmetry_space_group_name_Hall '-I 2b 2'
_cell_length_a 4.212
_cell_length_b 6.913
_cell_length_c 38.473
_cell_angle_alpha 90.00
_cell_angle_beta 90.00
_cell_angle_gamma 90.00
loop_
_atom_site_label
_atom_site_fract_x
_atom_site_fract_y
_atom_site_fract_z
Ba1 0.000 0.250 0.187
Ba2 0.000 0.250 0.708
Sr1 0.000 0.250 0.882
Sr2 0.000 0.250 0.980
Ca1 0.000 0.250 0.423
# Calculated volume in A^3/atom: 56.0
# Calculated density in g/cm³: 2.905
# Calculated total energy in eV/cell: -34.0
# Fermi-level density of states in states/eV/f.u.: 7.784
# Energy above the lowest structure with this stoichiometry in eV per atom: 0.073

---

# BaSrCa2 PBE relaxed
data_BaSrCa2
_chemical_formula_sum 'Ba2 Sr2 Ca4'
_symmetry_space_group_name_H-M 'I m m 2'
_symmetry_Int_Tables_number 44
_cell_length_a 4.536
_cell_length_b 6.645
_cell_length_c 13.253
_cell_angle_alpha 90.00
_cell_angle_beta 90.00
_cell_angle_gamma 90.00
loop_
_symmetry_equiv_pos_as_xyz
'x,y,z'
'-x,-y,z'
'-x,y,z'
'x,-y,z'
'x+1/2,y+1/2,z+1/2'
'-x+1/2,-y+1/2,z+1/2'
'-x+1/2,y+1/2,z+1/2'
'x+1/2,-y+1/2,z+1/2'
loop_
_atom_site_label
_atom_site_fract_x
_atom_site_fract_y
_atom_site_fract_z
Ba1 0.000 0.000 0.000
Sr1 0.000 0.500 0.234
Ca1 0.000 0.000 0.487
Ca2 0.000 0.500 0.756
# Calculated volume in A^3/atom: 49.9
# Calculated density in g/cm³: 2.536
# Calculated total energy in eV/cell: -15.0
# Fermi-level density of states in states/eV/f.u.: 5.519
# Energy above the lowest structure with this stoichiometry in eV per atom: 0.023

---

# Ba4Sr5Ca2 PBE relaxed
data_Ba4Sr5Ca2
_chemical_formula_sum 'Ba8 Sr10 Ca4'
_symmetry_space_group_name_H-M 'C 1 2/m 1'
_symmetry_Int_Tables_number 12
_cell_length_a 28.691
_cell_length_b 4.085
_cell_length_c 10.524
_cell_angle_alpha 90.00
_cell_angle_beta 94.40
_cell_angle_gamma 90.00
loop_
_symmetry_equiv_pos_as_xyz
'x,y,z'
'-x,-y,-z'
'-x,y,-z'
'x,-y,z'
'x+1/2,y+1/2,z'
'-x+1/2,-y+1/2,-z'
'-x+1/2,y+1/2,-z'
'x+1/2,-y+1/2,z'
loop_
_atom_site_label
_atom_site_fract_x
_atom_site_fract_y
_atom_site_fract_z
Ba1 0.044 0.000 0.363
Ba2 0.177 0.500 0.476
Sr1 0.000 0.500 0.000
Sr2 0.138 0.000 0.100
Sr3 0.231 0.000 0.825
Ca1 0.092 0.000 0.739
# Calculated volume in A^3/atom: 55.9
# Calculated density in g/cm³: 2.883
# Calculated total energy in eV/cell: -38.4
# Fermi-level density of states in states/eV/f.u.: 14.954
# Energy above the lowest structure with this stoichiometry in eV per atom: 0.014

---

# Ba2Sr2Ca15 PBE relaxed
data_Ba2Sr2Ca15
_chemical_formula_sum 'Ba6 Sr6 Ca45'
_symmetry_space_group_name_H-M 'R -3 m'
_symmetry_Int_Tables_number 166
_symmetry_space_group_name_Hall '-R 3 2"'
_cell_length_a 12.9041
_cell_length_b 12.9041
_cell_length_c 19.1286
_cell_angle_alpha 90.00
_cell_angle_beta 90.00
_cell_angle_gamma 120.00
loop_
_atom_site_label
_atom_site_fract_x
_atom_site_fract_y
_atom_site_fract_z
Ba1 0.0000 0.0000 0.1630
Sr1 0.0000 0.0000 0.3998
Ca1 0.0000 0.3019 0.5000
Ca2 0.0000 0.5000 0.0000
Ca3 0.0044 0.5022 0.6529
# Calculated volume in A^3/atom: 48.4
# Calculated density in g/cm³: 1.898
# Calculated total energy in eV/cell: -107.6
# Fermi-level density of states in states/eV/f.u.: 23.437

---

# BaSrCa PBE relaxed
data_BaSrCa
_chemical_formula_sum 'Ba2 Sr2 Ca2'
_symmetry_space_group_name_H-M 'I 4 m m'
_symmetry_Int_Tables_number 107
_symmetry_space_group_name_Hall 'I 4 -2'
_cell_length_a 4.296
_cell_length_b 4.296
_cell_length_c 17.353
_cell_angle_alpha 90.00
_cell_angle_beta 90.00
_cell_angle_gamma 90.00
loop_
_atom_site_label
_atom_site_fract_x
_atom_site_fract_y
_atom_site_fract_z
Ba1 0.000 0.000 0.000
Sr1 0.000 0.000 0.682
Ca1 0.000 0.000 0.336
# Calculated volume in A^3/atom: 53.4
# Calculated density in g/cm³: 2.748
# Calculated total energy in eV/cell: -11.1
# Fermi-level density of states in states/eV/f.u.: 4.122
# Energy above the lowest structure with this stoichiometry in eV per atom: 0.001

---

# BaSr3Ca6 PBE relaxed
data_BaSr3Ca6
_chemical_formula_sum 'Ba4 Sr12 Ca24'
_symmetry_space_group_name_H-M 'C m c 21'
_symmetry_Int_Tables_number 36
_cell_length_a 13.080
_cell_length_b 13.696
_cell_length_c 11.309
_cell_angle_alpha 90.00
_cell_angle_beta 90.00
_cell_angle_gamma 90.00
loop_
_symmetry_equiv_pos_as_xyz
'x,y,z'
'-x,-y,z+1/2'
'-x,y,z'
'x,-y,z+1/2'
'x+1/2,y+1/2,z'
'-x+1/2,-y+1/2,z+1/2'
'-x+1/2,y+1/2,z'
'x+1/2,-y+1/2,z+1/2'
loop_
_atom_site_label
_atom_site_fract_x
_atom_site_fract_y
_atom_site_fract_z
Ba1 0.000 0.223 0.000
Sr1 0.000 0.042 0.314
Sr2 0.168 0.363 0.377
Ca1 0.000 0.221 0.629
Ca2 0.000 0.498 0.119
Ca3 0.224 0.361 0.725
Ca4 0.230 0.096 0.554
# Calculated volume in A^3/atom: 50.7
# Calculated density in g/cm³: 2.100
# Calculated total energy in eV/cell: -71.2
# Fermi-level density of states in states/eV/f.u.: 15.597
# Energy above the lowest structure with this stoichiometry in eV per atom: 0.028

---

# Ba2Sr5Ca6 PBE relaxed
data_Ba2Sr5Ca6
_chemical_formula_sum 'Ba4 Sr10 Ca12'
_symmetry_space_group_name_H-M 'P b a m'
_symmetry_Int_Tables_number 55
_cell_length_a 14.009
_cell_length_b 16.183
_cell_length_c 5.979
_cell_angle_alpha 90.00
_cell_angle_beta 90.00
_cell_angle_gamma 90.00
loop_
_symmetry_equiv_pos_as_xyz
'x,y,z'
'-x,-y,-z'
'-x,-y,z'
'x,y,-z'
'x+1/2,-y+1/2,-z'
'-x+1/2,y+1/2,z'
'-x+1/2,y+1/2,-z'
'x+1/2,-y+1/2,z'
loop_
_atom_site_label
_atom_site_fract_x
_atom_site_fract_y
_atom_site_fract_z
Ba1 0.108 0.193 0.000
Sr1 0.000 0.000 0.500
Sr2 0.086 0.391 0.500
Sr3 0.136 0.781 0.500
Ca1 0.094 0.595 0.000
Ca2 0.202 0.931 0.000
Ca3 0.250 0.071 0.500
# Calculated volume in A^3/atom: 52.1
# Calculated density in g/cm³: 2.336
# Calculated total energy in eV/cell: -46.4
# Fermi-level density of states in states/eV/f.u.: 17.986

---

# Ba7Sr3Ca PBE relaxed
data_Ba7Sr3Ca
_chemical_formula_sum 'Ba7 Sr3 Ca1'
_symmetry_space_group_name_H-M 'P 3 m 1'
_symmetry_Int_Tables_number 156
_cell_length_a 8.6879
_cell_length_b 8.6879
_cell_length_c 10.5965
_cell_angle_alpha 90.00
_cell_angle_beta 90.00
_cell_angle_gamma 120.00
loop_
_symmetry_equiv_pos_as_xyz
'x,y,z'
'-y,x-y,z'
'-x+y,-x,z'
'-y,-x,z'
'-x+y,y,z'
'x,x-y,z'
loop_
_atom_site_label
_atom_site_fract_x
_atom_site_fract_y
_atom_site_fract_z
Ba1 0.0000 0.0000 0.0000
Ba2 0.0021 0.5010 0.0039
Ba3 0.3354 0.1677 0.6584
Sr1 0.1684 0.3367 0.3367
Ca1 0.3333 0.6667 0.6654
# Calculated volume in A^3/atom: 63.0
# Calculated density in g/cm³: 3.031
# Calculated total energy in eV/cell: -19.3
# Fermi-level density of states in states/eV/f.u.: 17.364
# Energy above the lowest structure with this stoichiometry in eV per atom: 0.027